The following is a DFT calculation (meta-GGA SCAN) of PtSe2Cl at its PBEsol-relaxed geometry.

- energy above the most stable polymorph in this dataset (meV/atom) = 310
- mass density (Mg/m³) = 6.50
- V (Å³ per atom) = 24.8
- DOS(E_F) (states/eV per cell) = 3.6

abc: 11.9494 3.3744 5.1738
angles: 90.00 107.95 90.00
Last column: nearest neighbours and their distance in Å.
Space group Cm (No. 8)
Unique sites:
Pt: 0.0000 0.0000 0.0000  2 Se 2.39, 2 Cl 2.39
Se: 0.0691 0.5000 0.5845  1 Se 2.44
Se: 0.1423 0.5000 0.1931  2 Pt 2.39, 1 Se 2.44
Cl: 0.3523 0.0000 0.8589  2 Pt 2.39